[1]
Here is an optimized crystal structure of NaB5H4O10 from Alexandria. Energies are from GGA-PBEsol.

Cell: 7.976 8.614 13.034 Å, 106.66 90.00 90.00°
Element x y z (fractional)
O 0.319 0.104 0.989
B 0.780 0.761 0.031
O 0.401 0.304 0.554
Na 0.234 0.916 0.760
O 0.435 0.712 0.297
B 0.215 0.043 0.573
B 0.062 0.234 0.131
O 0.812 0.573 0.178
B 0.285 0.043 0.073
O 0.099 0.304 0.054
O 0.681 0.896 0.011
O 0.188 0.427 0.822
O 0.848 0.900 0.858
B 0.938 0.766 0.869
Na 0.766 0.084 0.240
Na 0.734 0.084 0.740
O 0.181 0.104 0.489
H 0.010 0.904 0.558
H 0.114 0.609 0.802
Na 0.266 0.916 0.260
O 0.658 0.633 0.036
O 0.312 0.427 0.322
O 0.158 0.367 0.464
B 0.280 0.239 0.469
O 0.634 0.821 0.635
O 0.467 0.753 0.764
O 0.075 0.584 0.396
O 0.533 0.247 0.236
B 0.405 0.284 0.308
H 0.510 0.096 0.942
H 0.018 0.398 0.548
B 0.595 0.716 0.692
B 0.320 0.458 0.895
H 0.490 0.904 0.058
H 0.549 0.322 0.188
O 0.842 0.633 0.536
H 0.886 0.391 0.198
B 0.785 0.957 0.427
H 0.614 0.391 0.698
H 0.482 0.398 0.048
O 0.378 0.924 0.095
O 0.122 0.924 0.595
B 0.905 0.716 0.192
O 0.366 0.179 0.365
O 0.575 0.416 0.104
H 0.982 0.602 0.452
O 0.065 0.712 0.797
B 0.438 0.234 0.631
B 0.715 0.957 0.927
B 0.820 0.542 0.605
H 0.049 0.678 0.312
O 0.925 0.416 0.604
O 0.901 0.696 0.946
B 0.095 0.284 0.808
B 0.220 0.239 0.969
O 0.342 0.367 0.964
O 0.967 0.247 0.736
B 0.180 0.458 0.395
O 0.866 0.821 0.135
O 0.819 0.896 0.511
O 0.033 0.753 0.264
O 0.152 0.100 0.142
B 0.562 0.766 0.369
H 0.451 0.678 0.812
O 0.599 0.696 0.446
H 0.386 0.609 0.302
O 0.565 0.288 0.703
O 0.622 0.076 0.905
H 0.518 0.602 0.952
O 0.134 0.179 0.865
O 0.348 0.100 0.642
O 0.688 0.573 0.678
B 0.680 0.542 0.105
H 0.951 0.322 0.688
H 0.990 0.096 0.442
O 0.935 0.288 0.203
O 0.878 0.076 0.405
O 0.425 0.584 0.896
O 0.652 0.900 0.358
B 0.720 0.761 0.531

Calculated values
- SG: P2_1/c, No. 14

---

[2]
Here is an optimized crystal structure of Na3B3H2O7 from Alexandria. Energies are from GGA-PBEsol.

Cell: 7.143 8.884 9.535 Å, 90.00 90.00 90.00°
Element x y z (fractional)
O 0.750 0.804 0.645
H 0.875 0.412 0.394
O 0.750 0.564 0.921
B 0.750 0.906 0.544
O 0.081 0.037 0.806
O 0.581 0.463 0.306
Na 0.499 0.726 0.305
Na 0.001 0.226 0.195
O 0.919 0.463 0.306
Na 0.501 0.774 0.805
B 0.250 0.016 0.717
O 0.081 0.537 0.694
Na 0.999 0.274 0.695
O 0.250 0.436 0.079
B 0.250 0.822 0.522
Na 0.501 0.274 0.695
Na 0.999 0.774 0.805
O 0.750 0.304 0.855
Na 0.499 0.226 0.195
O 0.250 0.677 0.480
O 0.250 0.936 0.421
O 0.750 0.373 0.099
B 0.250 0.516 0.783
O 0.750 0.823 0.980
H 0.875 0.912 0.106
O 0.750 0.323 0.520
O 0.250 0.127 0.599
B 0.750 0.484 0.217
B 0.750 0.406 0.956
O 0.250 0.362 0.838
O 0.750 0.638 0.162
O 0.581 0.963 0.194
B 0.750 0.178 0.478
H 0.625 0.912 0.106
H 0.125 0.588 0.606
O 0.750 0.138 0.338
O 0.250 0.177 0.020
Na 0.250 0.460 0.330
B 0.250 0.094 0.456
H 0.375 0.088 0.894
H 0.125 0.088 0.894
O 0.419 0.537 0.694
H 0.625 0.412 0.394
O 0.250 0.696 0.145
O 0.919 0.963 0.194
B 0.750 0.678 0.022
O 0.250 0.196 0.355
O 0.250 0.862 0.662
O 0.750 0.064 0.579
O 0.750 0.873 0.401
Na 0.250 0.960 0.170
B 0.750 0.984 0.283
Na 0.750 0.040 0.830
Na 0.750 0.540 0.670
O 0.419 0.037 0.806
Na 0.001 0.726 0.305
O 0.250 0.627 0.901
B 0.250 0.322 0.978
B 0.250 0.594 0.044
H 0.375 0.588 0.606

Calculated values
- SG: Pnma, No. 62

---

[3]
Here is an optimized crystal structure of NaBH8O7 from Alexandria. Energies are from GGA-PBEsol.

Cell: 6.641 6.979 7.219 Å, 68.44 79.21 62.55°
Element x y z (fractional)
O 0.136 0.280 0.474
O 0.438 0.387 0.362
H 0.626 0.522 0.206
O 0.864 0.720 0.526
O 0.719 0.069 0.685
O 0.310 0.941 0.804
B 0.192 0.482 0.365
H 0.156 0.421 0.838
H 0.192 0.838 0.381
O 0.889 0.367 0.508
H 0.808 0.162 0.619
H 0.181 0.524 0.069
O 0.906 0.396 0.829
H 0.844 0.579 0.162
H 0.784 0.935 0.637
O 0.094 0.604 0.171
B 0.808 0.518 0.635
O 0.281 0.931 0.315
H 0.216 0.065 0.363
H 0.491 0.714 0.505
O 0.289 0.404 0.900
Na 0.500 0.000 0.000
O 0.711 0.596 0.100
H 0.412 0.809 0.757
H 0.819 0.476 0.931
H 0.588 0.191 0.243
O 0.562 0.613 0.638
H 0.253 0.075 0.680
H 0.374 0.478 0.794
O 0.111 0.633 0.492
Na 0.000 0.000 0.000
O 0.690 0.059 0.196
H 0.747 0.925 0.320
H 0.509 0.286 0.495

Calculated values
- SG: P-1, No. 2

---

[4]
Here is an optimized crystal structure of NaB2H5O6 from Alexandria. Energies are from GGA-PBEsol.

Cell: 9.513 9.513 9.513 Å, 71.40 71.40 71.40°
Element x y z (fractional)
H 0.470 0.711 0.946
B 0.108 0.528 0.231
H 0.711 0.946 0.470
H 0.330 0.166 0.833
B 0.882 0.519 0.451
H 0.761 0.643 0.058
O 0.289 0.960 0.509
O 0.233 0.485 0.567
O 0.000 0.459 0.541
H 0.568 0.267 0.374
H 0.844 0.976 0.264
O 0.779 0.727 0.086
O 0.175 0.530 0.079
O 0.459 0.541 0.000
B 0.549 0.481 0.118
H 0.357 0.239 0.942
H 0.156 0.736 0.024
O 0.317 0.186 0.550
B 0.472 0.892 0.769
O 0.845 0.000 0.155
H 0.166 0.833 0.330
H 0.054 0.289 0.530
H 0.942 0.357 0.239
H 0.976 0.264 0.844
H 0.432 0.626 0.733
B 0.231 0.108 0.528
O 0.515 0.767 0.433
O 0.491 0.040 0.711
O 0.273 0.221 0.914
H 0.733 0.432 0.626
O 0.509 0.289 0.960
O 0.000 0.155 0.845
O 0.567 0.233 0.485
B 0.528 0.231 0.108
H 0.833 0.330 0.166
H 0.530 0.054 0.289
O 0.921 0.470 0.825
B 0.892 0.769 0.472
O 0.914 0.273 0.221
H 0.946 0.470 0.711
O 0.727 0.086 0.779
Na 0.500 0.500 0.500
O 0.825 0.921 0.470
O 0.530 0.079 0.175
H 0.264 0.844 0.976
H 0.167 0.834 0.670
O 0.155 0.845 0.000
O 0.086 0.779 0.727
H 0.239 0.942 0.357
H 0.670 0.167 0.834
O 0.711 0.491 0.040
Na 0.918 0.918 0.918
O 0.079 0.175 0.530
B 0.769 0.472 0.892
H 0.267 0.374 0.568
O 0.470 0.825 0.921
O 0.767 0.433 0.515
H 0.289 0.530 0.054
O 0.040 0.711 0.491
B 0.519 0.451 0.882
O 0.550 0.317 0.186
H 0.058 0.761 0.643
O 0.221 0.914 0.273
H 0.374 0.568 0.267
Na 0.833 0.167 0.500
O 0.541 0.000 0.459
Na 0.500 0.833 0.167
H 0.643 0.058 0.761
H 0.736 0.024 0.156
B 0.451 0.882 0.519
Na 0.167 0.500 0.833
O 0.960 0.509 0.289
O 0.485 0.567 0.233
Na 0.082 0.082 0.082
O 0.450 0.814 0.683
O 0.683 0.450 0.814
B 0.118 0.549 0.481
H 0.834 0.670 0.167
O 0.433 0.515 0.767
H 0.626 0.733 0.432
B 0.481 0.118 0.549
O 0.186 0.550 0.317
H 0.024 0.156 0.736
O 0.814 0.683 0.450

Calculated values
- SG: R32, No. 155

---

[5]
Here is an optimized crystal structure of Na3B3H4O8 from Alexandria. Energies are from GGA-PBEsol.

Cell: 6.900 7.488 7.488 Å, 118.46 97.70 82.30°
Element x y z (fractional)
O 0.957 0.818 0.526
B 0.193 0.644 0.877
O 0.177 0.641 0.067
B 0.185 0.259 0.716
H 0.021 0.803 0.734
H 0.996 0.115 0.389
B 0.245 0.466 0.100
O 0.128 0.465 0.252
O 0.535 0.135 0.207
B 0.745 0.900 0.534
O 0.168 0.078 0.546
Na 0.960 0.164 0.019
Na 0.381 0.477 0.504
O 0.884 0.133 0.293
H 0.521 0.266 0.197
O 0.035 0.793 0.865
B 0.693 0.123 0.356
Na 0.345 0.926 0.261
H 0.062 0.604 0.335
O 0.457 0.474 0.182
H 0.496 0.611 0.885
O 0.665 0.301 0.562
Na 0.845 0.739 0.074
O 0.384 0.707 0.867
O 0.223 0.269 0.908
H 0.549 0.460 0.074
O 0.723 0.092 0.731
B 0.685 0.284 0.741
H 0.562 0.665 0.396
H 0.049 0.926 0.540
O 0.677 0.933 0.359
O 0.668 0.454 0.922
Na 0.460 0.981 0.836
O 0.628 0.748 0.535
Na 0.881 0.496 0.523
O 0.165 0.438 0.699

Calculated values
- SG: Cc, No. 9

---

[6]
Here is an optimized crystal structure of NaB2SbH from Alexandria. Energies are from GGA-PBEsol.

Cell: 4.410 4.410 5.381 Å, 90.00 90.00 90.00°
Element x y z (fractional)
H 0.500 0.500 0.500
B 0.500 0.000 0.000
B 0.000 0.500 0.000
Sb 0.000 0.000 0.500
Na 0.000 0.000 0.000

Calculated values
- SG: P4/mmm, No. 123

---

[7]
Here is an optimized crystal structure of NaSiB2H from Alexandria. Energies are from GGA-PBEsol.

Cell: 3.567 3.638 3.638 Å, 90.00 90.00 90.00°
Element x y z (fractional)
H 0.000 0.000 0.000
Na 0.500 0.000 0.000
B 0.000 0.500 0.000
B 0.000 0.000 0.500
Si 0.500 0.500 0.500

Calculated values
- SG: P4/mmm, No. 123

---

[8]
Here is an optimized crystal structure of NaYB4H16 from Alexandria. Energies are from GGA-PBEsol.

Cell: 7.194 7.194 8.598 Å, 90.00 90.00 110.36°
Element x y z (fractional)
H 0.683 0.098 0.616
H 0.296 0.342 0.124
H 0.342 0.296 0.876
H 0.627 0.649 0.848
B 0.719 0.767 0.244
B 0.758 0.232 0.519
H 0.902 0.317 0.884
H 0.897 0.363 0.586
H 0.351 0.373 0.652
Na 0.021 0.021 0.000
Y 0.644 0.356 0.750
H 0.173 0.811 0.598
H 0.103 0.351 0.289
B 0.767 0.719 0.756
H 0.695 0.370 0.013
Y 0.356 0.644 0.250
H 0.897 0.649 0.789
B 0.233 0.281 0.256
B 0.232 0.758 0.481
H 0.827 0.189 0.098
H 0.305 0.630 0.513
H 0.373 0.351 0.348
H 0.370 0.695 0.987
H 0.637 0.103 0.914
H 0.363 0.897 0.414
H 0.098 0.683 0.384
B 0.768 0.242 0.981
H 0.351 0.103 0.711
H 0.171 0.101 0.262
H 0.103 0.637 0.086
H 0.829 0.899 0.762
H 0.101 0.171 0.738
H 0.811 0.173 0.402
H 0.658 0.704 0.376
B 0.242 0.768 0.019
H 0.649 0.627 0.152
H 0.899 0.829 0.238
H 0.704 0.658 0.624
B 0.281 0.233 0.744
H 0.630 0.305 0.487
H 0.649 0.897 0.211
H 0.317 0.902 0.116
H 0.189 0.827 0.902
Na 0.979 0.979 0.500

Calculated values
- SG: C222_1, No. 20

---

E_tot list, top to bottom, in eV/atom: -7.1413, -6.6269, -5.4683, -6.2135, -6.3747, -2.0228, -3.6467, -4.3215